## NpSnH8Ir2 (GGA-PBE)

Data for a relaxed NpSnH8Ir2 crystal.

Cell and atoms, written as POSCAR:
```
NpSnH8Ir2
1.0
4.6357 0.0000 0.0000
2.3178 4.0146 0.0000
2.3179 1.3382 6.6345
H Ir Np Sn
8 2 1 1
direct
0.1422 0.1422 0.5733
0.8578 0.8578 0.4267
0.4457 0.4459 0.1782
0.0697 0.5543 0.8218
0.4459 0.9303 0.1782
0.9303 0.4457 0.1782
0.5543 0.5541 0.8218
0.5541 0.0697 0.8218
0.7729 0.7729 0.6814
0.2271 0.2271 0.3186
0.5000 0.5000 0.5000
0.0000 0.0000 0.0000
```

Values from the calculation:
Its total energy is -5.01 eV per atom. The value obtained for the volume is 123.5 Å³/cell.


## Te2MoW2Se2S2 (GGA-PBE)

Data for a relaxed Te2MoW2Se2S2 crystal.

Cell and atoms, written as POSCAR:
```
Te2MoW2Se2S2
1.0
1.6750 -2.9011 0.0000
1.6750 2.9011 0.0000
0.0000 0.0000 23.1968
S W Se Mo Te
2 2 2 1 2
direct
0.3333 0.6667 0.9597
0.3333 0.6667 0.0903
0.0000 0.0000 0.6773
0.3333 0.6667 0.3386
0.0000 0.0000 0.2665
0.0000 0.0000 0.4107
0.0000 0.0000 0.0250
0.3333 0.6667 0.7596
0.3333 0.6667 0.5951
```

Values from the calculation:
The value obtained for the volume is 225.4 Å³/cell. The value obtained for the energy relative to the elements, uncorrected is -0.45 eV per atom.


## Er7Hg2Pb2 (GGA-PBE)

Data for a relaxed Er7Hg2Pb2 crystal.

Cell and atoms, written as POSCAR:
```
Er7Hg2Pb2
1.0
-0.2712 5.2592 -4.5342
4.4178 -3.7247 -4.5840
-5.2509 -4.2624 -1.5976
Er Pb Hg
7 2 2
direct
0.0000 0.0000 0.0000
0.5000 0.2469 0.5000
0.5000 0.7263 0.0000
0.5000 0.2737 0.0000
0.0000 0.2737 0.5000
0.5000 0.7531 0.5000
0.0000 0.7263 0.5000
0.8139 0.5000 0.8139
0.1861 0.5000 0.1861
0.2850 0.0000 0.7150
0.7150 0.0000 0.2850
```

Values from the calculation:
The value obtained for the volume is 341.5 Å³/cell. As for the calculated formation energy: -0.087 eV per atom.


## CaFeN3 (GGA-PBE)

Data for a relaxed CaFeN3 crystal.

Cell and atoms, written as POSCAR:
```
CaFeN3
1.0
3.7479 0.0000 0.0000
0.0000 3.7479 0.0000
0.0000 0.0000 3.7479
N Fe Ca
3 1 1
direct
0.0000 0.5000 0.0000
0.0000 0.0000 0.5000
0.5000 0.0000 0.0000
0.0000 0.0000 0.0000
0.5000 0.5000 0.5000
```

Values from the calculation:
The value obtained for the volume is 52.6 Å³/cell. The value obtained for the energy relative to the elements, uncorrected is 0.33 eV per atom.


## CuGe2Ru (GGA-PBE)

Data for a relaxed CuGe2Ru crystal.

Cell and atoms, written as POSCAR:
```
CuGe2Ru
1.0
0.2870 2.9517 3.1945
-2.4299 -0.4335 3.5927
1.8789 -1.0626 3.7868
Ge Cu Ru
2 1 1
direct
0.7500 0.7500 0.7500
0.2500 0.2500 0.2500
0.0000 0.0000 0.0000
0.5000 0.5000 0.5000
```

Values from the calculation:
The value obtained for the volume is 58.6 Å³/cell. As for the calculated formation energy: 0.132 eV per atom.


## Pu5HfP6 (GGA-PBE)

Data for a relaxed Pu5HfP6 crystal.

Cell and atoms, written as POSCAR:
```
Pu5HfP6
1.0
6.7110 0.1745 1.0254
1.6578 5.7180 3.3336
0.1147 0.0639 6.8163
Hf Pu P
1 5 6
direct
0.0000 0.0000 0.0000
0.5000 0.8310 0.3380
0.0000 0.3337 0.3326
0.0000 0.6663 0.6674
0.5000 0.1690 0.6620
0.5000 0.5000 0.0000
0.2416 0.5959 0.3234
0.2443 0.2416 0.0000
0.2416 0.9193 0.6766
0.7584 0.0807 0.3234
0.7584 0.4041 0.6766
0.7557 0.7584 0.0000
```

Values from the calculation:
The value obtained for the volume is 257.7 Å³/cell. As for the calculated formation energy: -1.170 eV per atom.